# Rb2GeAuCl6 (GGA-PBE, optimized geometry)
data_Rb2GeAuCl6
_chemical_formula_sum 'Rb8 Ge4 Au4 Cl24'
_symmetry_space_group_name_H-M 'F m -3 m'
_symmetry_Int_Tables_number 225
_symmetry_space_group_name_Hall '-F 4 2 3'
_cell_length_a 10.291
_cell_length_b 10.291
_cell_length_c 10.291
_cell_angle_alpha 90.00
_cell_angle_beta 90.00
_cell_angle_gamma 90.00
loop_
_atom_site_label
_atom_site_type_symbol
_atom_site_fract_x
_atom_site_fract_y
_atom_site_fract_z
_atom_site_occupancy
Rb1 Rb 0.250 0.250 0.250 1
Ge1 Ge 0.000 0.000 0.000 1
Au1 Au 0.000 0.000 0.500 1
Cl1 Cl 0.000 0.000 0.244 1
# Calculated total energy = -128.67 eV per cell